RuW3C | GGA-PBE | relaxed

CIF file:
```
data_RuW3C
_chemical_formula_sum 'Ru1 W3 C1'
_cell_length_a 4.1300
_cell_length_b 4.1300
_cell_length_c 4.1300
_cell_angle_alpha 90.00
_cell_angle_beta 90.00
_cell_angle_gamma 90.00
_space_group_name_H-M_alt 'P m -3 m'
_space_group_IT_number 221
_space_group_name_Hall '-P 4 2 3'
loop_
_atom_site_label
_atom_site_type_symbol
_atom_site_fract_x
_atom_site_fract_y
_atom_site_fract_z
Ru1 Ru 0.0000 0.0000 0.0000
W1 W 0.0000 0.5000 0.5000
C1 C 0.5000 0.5000 0.5000
```

Values from the calculation:
**Electronic total energy**: -11.288 eV/atom
**Total magnetization**: 0.00 μB per formula unit

---

Sr2SmMgHg6 | GGA-PBE | relaxed

CIF file:
```
data_Sr2SmMgHg6
_chemical_formula_sum 'Sr2 Sm1 Mg1 Hg6'
_cell_length_a 5.6566
_cell_length_b 5.9007
_cell_length_c 9.2730
_cell_angle_alpha 102.97
_cell_angle_beta 102.74
_cell_angle_gamma 102.03
_space_group_name_H-M_alt 'P -1'
_space_group_IT_number 2
_space_group_name_Hall '-P 1'
loop_
_atom_site_label
_atom_site_type_symbol
_atom_site_fract_x
_atom_site_fract_y
_atom_site_fract_z
Sr1 Sr 0.1294 0.3532 0.1852
Sm1 Sm 0.0000 0.0000 0.5000
Mg1 Mg 0.5000 0.0000 0.0000
Hg1 Hg 0.2842 0.3215 0.8543
Hg2 Hg 0.2846 0.5608 0.5826
Hg3 Hg 0.3809 0.9368 0.3011
```

Values from the calculation:
**Electronic total energy**: -1.492 eV/atom
**Total magnetization**: 0.00 μB per formula unit